Run P
The following is a DFT calculation (GGA-PBE) of a relaxed Nd6NiHg2 crystal.

As for the density of states at the Fermi level: 19.587 states/eV per cell.

The space group is P2_1/c (No. 14) and the conventional cell measures 7.217, 7.334 and 12.477 Å, with angles of 90.00, 121.77 and 90.00 degrees. The inequivalent atoms are Nd at (0.140, 0.006, 0.253), Nd at (0.245, 0.698, 0.050), Nd at (0.356, 0.209, 0.051), Ni at (0.000, 0.000, 0.000) and Hg at (0.300, 0.077, 0.763).

***

Run Q
The following is a DFT calculation (GGA-PBE) of a relaxed Nd6NiHg2 crystal.

As for the density of states at the Fermi level: 8.662 states/eV per cell.

The space group is P-62m (No. 189) and the conventional cell measures 8.9143, 8.9143 and 3.7849 Å, with angles of 90.00, 90.00 and 120.00 degrees. The inequivalent atoms are Nd at (0.0000, 0.2367, 0.0000), Nd at (0.0000, 0.5936, 0.5000), Ni at (0.0000, 0.0000, 0.5000) and Hg at (0.3333, 0.6667, 0.0000).

***

run Q takes first place; second place is 7.8 kJ/mol of atoms up.

***

Run P
The following is a DFT calculation (GGA-PBE) of a relaxed Nd4NiHg2 crystal.

As for the density of states at the Fermi level: 17.016 states/eV per cell.

The space group is I4/mmm (No. 139) and the conventional cell measures 5.291, 5.291 and 15.549 Å, with angles of 90.00, 90.00 and 90.00 degrees. The inequivalent atoms are Nd at (0.000, 0.000, 0.183), Nd at (0.000, 0.500, 0.000), Ni at (0.000, 0.000, 0.000) and Hg at (0.000, 0.000, 0.377).

***

Run Q
The following is a DFT calculation (GGA-PBE) of a relaxed Nd4NiHg2 crystal.

As for the density of states at the Fermi level: 15.368 states/eV per cell.

The space group is P2_1/m (No. 11) and the conventional cell measures 7.131, 6.893 and 8.479 Å, with angles of 90.00, 110.15 and 90.00 degrees. The inequivalent atoms are Nd at (0.138, 0.014, 0.292), Nd at (0.312, 0.250, 0.923), Nd at (0.337, 0.750, 0.674), Ni at (0.061, 0.250, 0.571), Hg at (0.217, 0.750, 0.003) and Hg at (0.458, 0.250, 0.612).

***

run Q takes first place; second place is 8.4 kJ/mol of atoms up.

***

Run P
The following is a DFT calculation (GGA-PBE) of a relaxed Nd3NiHg crystal.

As for the density of states at the Fermi level: 18.643 states/eV per cell.

The space group is C2/m (No. 12) and the conventional cell measures 11.956, 5.313 and 9.701 Å, with angles of 90.00, 115.98 and 90.00 degrees. The inequivalent atoms are Nd at (0.124, 0.000, 0.279), Nd at (0.124, 0.500, 0.930), Nd at (0.150, 0.000, 0.666), Ni at (0.104, 0.000, 0.979) and Hg at (0.089, 0.500, 0.432).

***

Run Q
The following is a DFT calculation (GGA-PBE) of a relaxed Nd3NiHg crystal.

As for the density of states at the Fermi level: 22.934 states/eV per cell.

The space group is P2_1/c (No. 14) and the conventional cell measures 10.196, 6.914 and 8.801 Å, with angles of 90.00, 113.37 and 90.00 degrees. The inequivalent atoms are Nd at (0.087, 0.068, 0.218), Nd at (0.347, 0.165, 0.624), Nd at (0.348, 0.674, 0.482), Ni at (0.408, 0.037, 0.347) and Hg at (0.107, 0.650, 0.088).

***

run P takes first place; second place is 2.9 kJ/mol of atoms up.

***

Run P
The following is a DFT calculation (GGA-PBE) of a relaxed Nd2HgO crystal.

As for the density of states at the Fermi level: 11.290 states/eV per cell.

The space group is Pnma (No. 62) and the conventional cell measures 7.202, 3.966 and 14.428 Å, with angles of 90.00, 90.00 and 90.00 degrees. The inequivalent atoms are Nd at (0.053, 0.250, 0.235), Nd at (0.247, 0.250, 0.939), Hg at (0.189, 0.250, 0.621) and O at (0.219, 0.750, 0.858).

***

Run Q
The following is a DFT calculation (GGA-PBE) of a relaxed Nd2HgO crystal.

As for the density of states at the Fermi level: 10.714 states/eV per cell.

The space group is R-3m (No. 166, hexagonal axes) and the conventional cell measures 3.7482, 3.7482 and 22.9404 Å, with angles of 90.00, 90.00 and 120.00 degrees. The inequivalent atoms are Nd at (0.0000, 0.0000, 0.2260), Hg at (0.0000, 0.0000, 0.0000) and O at (0.0000, 0.0000, 0.5000).

***

run P takes first place; second place is 13.9 kJ/mol of atoms up.